Entry 1:
This record from the Alexandria database describes a relaxed structure of Na2CaSn. The functional is PBE-GGA.

Results
Fermi-level density of states = 12.4 states/eV/cell
Formation energy = -0.10 eV per atom
Total magnetization = 0.000 μB/f.u.
Uncorrected energy = -2.2636 eV/atom

Cell lengths 4.640, 4.640, 23.999 Å; angles 90.00, 90.00, 90.00 degrees
Space group I-42d (No. 122)
Symmetry-distinct sites (fractional):
Na (0.216, 0.250, 0.125) [8 per cell]
Ca (0.000, 0.000, 0.500) [4 per cell]
Sn (0.000, 0.000, 0.000) [4 per cell]

=====

Entry 2:
This record from the Alexandria database describes a relaxed structure of KLiB2S4. The functional is PBE-GGA.

Results
Fermi-level density of states = 0.0 states/eV/cell
Formation energy (no corrections) = -69.03 kJ per mole of atoms
Total magnetization = 0.000 μB/f.u.
Uncorrected energy = -4.8250 eV/atom

Cell lengths 5.890, 8.330, 8.697 Å; angles 90.00, 90.00, 90.00 degrees
Space group I222 (No. 23)
Symmetry-distinct sites (fractional):
K (0.000, 0.000, 0.000) [2 per cell]
Li (0.000, 0.000, 0.500) [2 per cell]
B (0.000, 0.500, 0.185) [4 per cell]
S (0.221, 0.372, 0.810) [8 per cell]